## a
TcHg2W: optimized geometry, PBE-GGA.

**N(E_F)**: 3.73 states/eV/f.u.

Lattice parameters (Å, degrees): 4.8494 4.8494 3.0095 90.00 90.00 90.00
Last column: nearest neighbours and their distance in Å.
Fractional positions:
Hg: 0.0000 0.0000 0.0000  4 W 2.85, 4 Tc 2.85, 2 Hg 3.01
Hg: 0.5000 0.5000 0.0000  4 W 2.85, 4 Tc 2.85, 2 Hg 3.01
Tc: 0.5000 0.0000 0.5000  8 Hg 2.85, 2 Tc 3.01
W: 0.0000 0.5000 0.5000  8 Hg 2.85, 2 W 3.01

## b
TcHg2W: optimized geometry, PBE-GGA.

**N(E_F)**: 3.05 states/eV/f.u.

Lattice parameters (Å, degrees): 4.8290 2.8089 5.3985 79.41 90.00 90.00
Last column: nearest neighbours and their distance in Å.
Fractional positions:
Hg: 0.0000 0.0275 0.0024  4 Hg 2.78-2.84, 2 Tc 2.88, 2 W 2.95
Hg: 0.0000 0.4725 0.4976  4 Hg 2.78-2.84, 2 Tc 2.88, 2 W 2.95
Tc: 0.5000 0.2500 0.2500  2 W 2.80, 2 Tc 2.81, 4 Hg 2.88
W: 0.5000 0.7500 0.7500  2 Tc 2.80, 2 W 2.81, 4 Hg 2.95

In terms of stability, b leads; the second structure lies 16.8 kJ/mol of atoms higher.

## a
TcHg2W: optimized geometry, PBE-GGA.

**N(E_F)**: 2.38 states/eV/f.u.

Lattice parameters (Å, degrees): 5.5872 5.5872 5.5872 146.07 131.77 60.27
Last column: nearest neighbours and their distance in Å.
Fractional positions:
Hg: 0.0027 0.0027 0.0000  4 Hg 2.81, 2 Tc 2.89, 2 W 2.94
Hg: 0.4973 0.4973 0.0000  4 Hg 2.81, 2 Tc 2.89, 2 W 2.94
Tc: 0.2500 0.7500 0.5000  4 W 2.80, 4 Hg 2.89
W: 0.7500 0.2500 0.5000  4 Tc 2.80, 4 Hg 2.94

## b
TcHg2W: optimized geometry, PBE-GGA.

**N(E_F)**: 5.27 states/eV/f.u.

Lattice parameters (Å, degrees): 9.6955 9.6955 9.6955 17.44 17.44 17.44
Last column: nearest neighbours and their distance in Å.
Fractional positions:
Hg: 0.9987 0.9987 0.9987  3 Tc 2.90, 6 Hg 2.94, 3 W 2.96
Hg: 0.5013 0.5013 0.5013  3 Tc 2.90, 6 Hg 2.94, 3 W 2.96
Tc: 0.2500 0.2500 0.2500  6 Hg 2.90, 6 Tc 2.94
W: 0.7500 0.7500 0.7500  6 W 2.94, 6 Hg 2.96

In terms of stability, b leads; the second structure lies 2.2 kJ/mol of atoms higher.

## a
TcHg2W: optimized geometry, PBE-GGA.

**N(E_F)**: 2.23 states/eV/f.u.

Lattice parameters (Å, degrees): 3.2216 4.6000 4.8602 90.00 90.00 90.00
Last column: nearest neighbours and their distance in Å.
Fractional positions:
Hg: 0.0000 0.0000 0.0000  4 Hg 2.81, 4 Tc 2.92
Hg: 0.5000 0.5000 0.0000  4 Hg 2.81, 4 W 2.92
Tc: 0.5000 0.0000 0.5000  4 W 2.81, 4 Hg 2.92
W: 0.0000 0.5000 0.5000  4 Tc 2.81, 4 Hg 2.92

## b
TcHg2W: optimized geometry, PBE-GGA.

**N(E_F)**: 4.03 states/eV/f.u.

Lattice parameters (Å, degrees): 4.6713 4.6713 4.6713 60.00 60.00 60.00
Last column: nearest neighbours and their distance in Å.
Fractional positions:
Hg: 0.0000 0.0000 0.0000  4 W 2.86, 4 Hg 2.86
Hg: 0.2500 0.2500 0.2500  4 Tc 2.86, 4 Hg 2.86
Tc: 0.5000 0.5000 0.5000  4 Hg 2.86, 4 W 2.86
W: 0.7500 0.7500 0.7500  4 Hg 2.86, 4 Tc 2.86

## c
TcHg2W: optimized geometry, PBE-GGA.

**N(E_F)**: 2.99 states/eV/f.u.

Lattice parameters (Å, degrees): 5.2663 5.2663 2.8730 90.00 90.00 115.70
Last column: nearest neighbours and their distance in Å.
Fractional positions:
Hg: 0.0000 0.0000 0.0000  4 Hg 2.80-2.87, 4 Tc 3.00, 4 W 3.00
Hg: 0.5000 0.5000 0.0000  4 Hg 2.80-2.87, 4 W 3.00, 4 Tc 3.00
Tc: 0.5000 0.0000 0.5000  2 W 2.80, 2 Tc 2.87, 8 Hg 3.00
W: 0.0000 0.5000 0.5000  2 Tc 2.80, 2 W 2.87, 8 Hg 3.00

In terms of stability, a leads; the second structure lies 5.2 kJ/mol of atoms higher.

## a
TcHg2W: optimized geometry, PBE-GGA.

**N(E_F)**: 4.53 states/eV/f.u.

Lattice parameters (Å, degrees): 4.4971 3.9823 3.9823 90.00 90.00 90.00
Last column: nearest neighbours and their distance in Å.
Fractional positions:
Hg: 0.0000 0.0000 0.0000  4 Hg 2.82, 4 W 3.00, 4 Tc 3.00
Hg: 0.0000 0.5000 0.5000  4 Hg 2.82, 4 W 3.00, 4 Tc 3.00
Tc: 0.5000 0.5000 0.0000  4 W 2.82, 8 Hg 3.00
W: 0.5000 0.0000 0.5000  4 Tc 2.82, 8 Hg 3.00

## b
TcHg2W: optimized geometry, PBE-GGA.

**N(E_F)**: 3.31 states/eV/f.u.

Lattice parameters (Å, degrees): 7.5955 7.5955 6.0311 50.97 50.97 90.00
Last column: nearest neighbours and their distance in Å.
Fractional positions:
Hg: 0.6238 0.1250 0.2500  2 Hg 2.74, 2 Tc 2.77, 2 W 2.78
Hg: 0.1262 0.6250 0.2500  2 Hg 2.74, 2 Tc 2.77, 2 W 2.78
Hg: 0.3750 0.3762 0.7500  2 Hg 2.74, 2 Tc 2.77, 2 W 2.78
Hg: 0.8750 0.8738 0.7500  2 Hg 2.74, 2 Tc 2.77, 2 W 2.78
W: 0.0000 0.0000 0.0000  2 Tc 2.74, 4 Hg 2.78
W: 0.7500 0.2500 0.5000  2 Tc 2.74, 4 Hg 2.78
Tc: 0.5000 0.5000 0.0000  2 W 2.74, 4 Hg 2.77
Tc: 0.2500 0.7500 0.5000  2 W 2.74, 4 Hg 2.77

## c
TcHg2W: optimized geometry, PBE-GGA.

**N(E_F)**: 2.62 states/eV/f.u.

Lattice parameters (Å, degrees): 5.2916 5.2916 4.9980 73.01 73.01 34.33
Last column: nearest neighbours and their distance in Å.
Fractional positions:
Hg: 0.0110 0.0110 0.9993  4 Tc 2.90-3.04, 5 Hg 2.93-3.12, 3 W 3.08-3.10
Hg: 0.2382 0.2382 0.2500  4 W 2.92-3.03, 5 Hg 2.93-3.12, 3 Tc 3.07-3.12
Tc: 0.4713 0.4713 0.5399  2 W 2.43
W: 0.7796 0.7796 0.7108  2 Tc 2.43

## d
TcHg2W: optimized geometry, PBE-GGA.

**N(E_F)**: 3.12 states/eV/f.u.

Lattice parameters (Å, degrees): 3.0660 3.0660 8.1584 90.00 90.00 90.00
Last column: nearest neighbours and their distance in Å.
Fractional positions:
Hg: 0.0000 0.0000 0.9751  8 Hg 3.07-3.29, 4 W 3.07
Hg: 0.5000 0.5000 0.2781  4 Tc 3.04, 8 Hg 3.07-3.29
Tc: 0.0000 0.0000 0.5386  4 W 2.57
W: 0.5000 0.5000 0.7082  4 Tc 2.57

In terms of stability, d leads; the second structure lies 24.0 kJ/mol of atoms higher.

## a
TcHg2W: optimized geometry, PBE-GGA.

**N(E_F)**: 2.85 states/eV/f.u.

Lattice parameters (Å, degrees): 10.0201 10.0201 10.0201 17.09 17.09 17.09
Last column: nearest neighbours and their distance in Å.
Fractional positions:
Hg: 0.0068 0.0068 0.0068  6 Hg 2.98, 3 W 3.08
Hg: 0.2423 0.2423 0.2423  6 Hg 2.98, 3 Tc 3.04
Tc: 0.4911 0.4911 0.4911  3 W 2.57
W: 0.7597 0.7597 0.7597  3 Tc 2.57

## b
TcHg2W: optimized geometry, PBE-GGA.

**N(E_F)**: 2.63 states/eV/f.u.

Lattice parameters (Å, degrees): 5.6794 5.6794 5.6794 147.72 128.79 61.84
Last column: nearest neighbours and their distance in Å.
Fractional positions:
Hg: 0.9864 0.9864 0.0000  4 Tc 2.95, 2 W 3.04, 6 Hg 3.13-3.27
Hg: 0.2641 0.7641 0.5000  4 W 2.95, 2 Tc 3.04, 6 Hg 3.13-3.27
Tc: 0.5302 0.5302 0.0000  2 W 2.43
W: 0.7192 0.2192 0.5000  2 Tc 2.43

## c
TcHg2W: optimized geometry, PBE-GGA.

**N(E_F)**: 4.44 states/eV/f.u.

Lattice parameters (Å, degrees): 5.3201 5.3201 5.3201 136.12 136.12 63.79
Last column: nearest neighbours and their distance in Å.
Fractional positions:
Hg: 0.0000 0.0000 0.0000  4 Hg 2.81, 4 W 3.01, 4 Tc 3.01
Hg: 0.5000 0.5000 0.0000  4 Hg 2.81, 4 Tc 3.01, 4 W 3.01
Tc: 0.2500 0.7500 0.5000  4 W 2.81, 8 Hg 3.01
W: 0.7500 0.2500 0.5000  4 Tc 2.81, 8 Hg 3.01

## d
TcHg2W: optimized geometry, PBE-GGA.

**N(E_F)**: 3.16 states/eV/f.u.

Lattice parameters (Å, degrees): 2.8193 2.8193 9.7246 90.00 90.00 110.87
Last column: nearest neighbours and their distance in Å.
Fractional positions:
Hg: 0.0000 0.0000 0.0035  4 Hg 2.82, 2 Tc 2.88, 2 W 2.94
Hg: 0.0000 0.0000 0.4965  4 Hg 2.82, 2 Tc 2.88, 2 W 2.94
Tc: 0.5000 0.5000 0.2500  4 Tc 2.82, 4 Hg 2.88
W: 0.5000 0.5000 0.7500  4 W 2.82, 4 Hg 2.94

In terms of stability, a leads; the second structure lies 21.7 kJ/mol of atoms higher.

## a
TcHg2W: optimized geometry, PBE-GGA.

**N(E_F)**: 2.42 states/eV/f.u.

Lattice parameters (Å, degrees): 5.0391 5.0391 5.0391 131.41 131.41 71.17
Last column: nearest neighbours and their distance in Å.
Fractional positions:
Hg: 0.0000 0.0000 0.0000  4 Hg 2.92, 4 W 2.92, 4 Tc 2.93
Hg: 0.2500 0.7500 0.5000  4 Tc 2.92, 4 Hg 2.92, 4 W 2.93
Tc: 0.5000 0.5000 0.0000  8 Hg 2.92-2.93, 4 W 2.92
W: 0.7500 0.2500 0.5000  8 Hg 2.92-2.93, 4 Tc 2.92

## b
TcHg2W: optimized geometry, PBE-GGA.

**N(E_F)**: 2.67 states/eV/f.u.

Lattice parameters (Å, degrees): 2.9091 2.9091 9.9670 90.00 90.00 114.92
Last column: nearest neighbours and their distance in Å.
Fractional positions:
Hg: 0.0000 0.0000 0.9824  6 Hg 2.91-3.13, 2 W 3.04
Hg: 0.5000 0.5000 0.2703  6 Hg 2.91-3.13, 2 Tc 2.99
Tc: 0.0000 0.0000 0.5259  2 W 2.50
W: 0.5000 0.5000 0.7213  2 Tc 2.50

In terms of stability, b leads; the second structure lies 31.9 kJ/mol of atoms higher.

## a
Y4TcHg: optimized geometry, PBE-GGA.

**N(E_F)**: 4.93 states/eV/f.u.

Lattice parameters (Å, degrees): 6.3209 7.6450 7.6450 112.06 98.62 98.62
Last column: nearest neighbours and their distance in Å.
Fractional positions:
Y: 0.9062 0.6349 0.7951  2 Tc 2.97-3.04, 2 Hg 3.21-3.26
Y: 0.0411 0.9339 0.2750  2 Tc 2.79-2.84
Y: 0.5938 0.2049 0.3651  2 Tc 2.97-3.04, 2 Hg 3.21-3.26
Y: 0.4589 0.7250 0.0661  2 Tc 2.79-2.84
Y: 0.5411 0.2750 0.9339  2 Tc 2.79-2.84
Y: 0.4062 0.7951 0.6349  2 Tc 2.97-3.04, 2 Hg 3.21-3.26
Y: 0.9589 0.0661 0.7250  2 Tc 2.79-2.84
Y: 0.0938 0.3651 0.2049  2 Tc 2.97-3.04, 2 Hg 3.21-3.26
Tc: 0.2500 0.9986 0.0014  8 Y 2.79-3.04
Tc: 0.7500 0.0014 0.9986  8 Y 2.79-3.04
Hg: 0.7500 0.6276 0.3724  8 Y 3.14-3.33
Hg: 0.2500 0.3724 0.6276  8 Y 3.14-3.33

## b
Y4TcHg: optimized geometry, PBE-GGA.

**N(E_F)**: 6.86 states/eV/f.u.

Lattice parameters (Å, degrees): 6.0538 6.0538 6.0538 60.00 60.00 60.00
Last column: nearest neighbours and their distance in Å.
Fractional positions:
Y: 0.8784 0.3739 0.3739  6 Y 3.00-3.05
Y: 0.3739 0.3739 0.8784  6 Y 3.00-3.05
Y: 0.3739 0.8784 0.3739  6 Y 3.00-3.05
Y: 0.3739 0.3739 0.3739  6 Y 3.00-3.05
Tc: 0.0000 0.0000 0.0000  12 Y 3.55, 4 Hg 3.71
Hg: 0.7500 0.7500 0.7500  12 Y 3.55, 4 Tc 3.71

In terms of stability, a leads; the second structure lies 94.6 kJ/mol of atoms higher.

## a
Zn2TcHg2: optimized geometry, PBE-GGA.

**N(E_F)**: 4.83 states/eV/f.u.

Lattice parameters (Å, degrees): 6.7551 6.7551 3.9412 90.00 90.00 90.00
Last column: nearest neighbours and their distance in Å.
Fractional positions:
Zn: 0.3670 0.8670 0.0000  1 Zn 2.54, 2 Tc 2.64, 2 Hg 2.67
Zn: 0.8670 0.6330 0.0000  1 Zn 2.54, 2 Tc 2.64, 2 Hg 2.67
Zn: 0.6330 0.1330 0.0000  1 Zn 2.54, 2 Tc 2.64, 2 Hg 2.67
Zn: 0.1330 0.3670 0.0000  1 Zn 2.54, 2 Tc 2.64, 2 Hg 2.67
Hg: 0.1791 0.6791 0.5000  6 Zn 2.67-2.90
Hg: 0.6791 0.8209 0.5000  6 Zn 2.67-2.90
Hg: 0.8209 0.3209 0.5000  6 Zn 2.67-2.90
Hg: 0.3209 0.1791 0.5000  6 Zn 2.67-2.90
Tc: 0.0000 0.0000 0.0000  4 Zn 2.64
Tc: 0.5000 0.5000 0.0000  4 Zn 2.64

## b
Zn2TcHg2: optimized geometry, PBE-GGA.

**N(E_F)**: 2.67 states/eV/f.u.

Lattice parameters (Å, degrees): 3.9664 3.9664 6.7889 73.01 73.01 90.00
Last column: nearest neighbours and their distance in Å.
Fractional positions:
Zn: 0.4074 0.4074 0.1851  1 Zn 2.29
Zn: 0.5926 0.5926 0.8149  1 Zn 2.29
Hg: 0.7500 0.2500 0.5000  4 Zn 2.78, 4 Hg 2.80
Hg: 0.2500 0.7500 0.5000  4 Zn 2.78, 4 Hg 2.80
Tc: 0.0000 0.0000 0.0000  8 Zn 3.03

In terms of stability, a leads; the second structure lies 19.8 kJ/mol of atoms higher.